[1]
Material: ZrMnPb2
Method: DFT, GGA-PBE
State: relaxed

Its density of states at the Fermi level is 0.462 states/eV per atom. As for the electronic total energy: -6.124 eV per atom. As for the offset from the most stable computed form: 22 meV per atom. For the size of the total moment, the calculation gives 3.87 μB/f.u. For the formation energy, the calculation gives 0.16 eV per atom.

a = 6.0302 Å, b = 6.0302 Å, c = 5.2564 Å
α = 68.92°, β = 68.92°, γ = 31.58°
Last column: nearest neighbours and their distance in Å.
Atoms (fractional coordinates):
Mn  0.2367  0.2367  0.1957  2 Zr 3.03, 7 Pb 3.10-3.20, 2 Mn 3.28
Pb  0.7595  0.7595  0.6786  4 Mn 3.10-3.12, 3 Zr 3.14-3.24, 5 Pb 3.28-3.47
Pb  0.9885  0.9885  0.0728  4 Zr 3.10-3.12, 3 Mn 3.18-3.20, 5 Pb 3.28-3.47
Zr  0.5154  0.5154  0.5529  2 Mn 3.03, 7 Pb 3.10-3.24, 2 Zr 3.28


[2]
Material: TiNbSn
Method: DFT, GGA-PBE
State: relaxed

Its density of states at the Fermi level is 0.643 states/eV per atom. As for the electronic total energy: -7.613 eV per atom. For the size of the total moment, the calculation gives 0.00 μB/f.u. For the formation energy, the calculation gives -0.29 eV per atom.

a = 3.5218 Å, b = 4.5620 Å, c = 7.2407 Å
α = 90.00°, β = 104.07°, γ = 90.00°
Last column: nearest neighbours and their distance in Å.
Atoms (fractional coordinates):
Sn  0.5970  0.7500  0.6941  6 Ti 2.90-3.00, 4 Nb 2.91-3.02
Sn  0.4030  0.2500  0.3059  6 Ti 2.90-3.00, 4 Nb 2.91-3.02
Nb  0.2621  0.7500  0.0245  2 Ti 2.87-2.88, 4 Nb 2.90, 4 Sn 2.91-3.02
Nb  0.7379  0.2500  0.9755  2 Ti 2.87-2.88, 4 Nb 2.90, 4 Sn 2.91-3.02
Ti  0.9242  0.7500  0.3480  2 Nb 2.87-2.88, 6 Sn 2.90-3.00, 2 Ti 3.12
Ti  0.0758  0.2500  0.6520  2 Nb 2.87-2.88, 6 Sn 2.90-3.00, 2 Ti 3.12


[3]
Material: MnFeCuMoAu
Method: DFT, GGA-PBE
State: relaxed

Its density of states at the Fermi level is 0.745 states/eV per atom. As for the electronic total energy: -6.968 eV per atom. As for the offset from the most stable computed form: 78 meV per atom. For the size of the total moment, the calculation gives 5.57 μB/f.u. For the formation energy, the calculation gives 0.20 eV per atom.

a = 6.7570 Å, b = 2.7005 Å, c = 8.7805 Å
α = 90.00°, β = 116.40°, γ = 90.00°
Last column: nearest neighbours and their distance in Å.
Atoms (fractional coordinates):
Fe  0.6598  0.0000  0.7757  3 Mo 2.53-2.71, 2 Cu 2.68, 3 Mn 2.70-2.72, 2 Fe 2.70, 2 Au 2.84
Fe  0.6598  0.5000  0.2757  3 Mo 2.53-2.71, 2 Cu 2.68, 3 Mn 2.70-2.72, 2 Fe 2.70, 2 Au 2.84
Cu  0.2802  0.5000  0.6781  3 Mo 2.68-2.71, 2 Fe 2.68, 3 Au 2.70-2.75, 2 Cu 2.70, 2 Mn 2.86
Cu  0.2802  0.0000  0.1781  3 Mo 2.68-2.71, 2 Fe 2.68, 3 Au 2.70-2.75, 2 Cu 2.70, 2 Mn 2.86
Au  0.0678  0.5000  0.8758  3 Mn 2.65-2.73, 3 Cu 2.70-2.75, 2 Au 2.70, 2 Fe 2.84, 2 Mo 2.87
Au  0.0678  0.0000  0.3758  3 Mn 2.65-2.73, 3 Cu 2.70-2.75, 2 Au 2.70, 2 Fe 2.84, 2 Mo 2.87
Mn  0.8672  0.5000  0.0749  3 Au 2.65-2.73, 3 Fe 2.70-2.72, 2 Mn 2.70, 2 Mo 2.71, 2 Cu 2.86
Mn  0.8672  0.0000  0.5749  3 Au 2.65-2.73, 3 Fe 2.70-2.72, 2 Mn 2.70, 2 Mo 2.71, 2 Cu 2.86
Mo  0.4826  0.0000  0.9763  3 Fe 2.53-2.71, 3 Cu 2.68-2.71, 2 Mo 2.70, 2 Mn 2.71
Mo  0.4826  0.5000  0.4763  3 Fe 2.53-2.71, 3 Cu 2.68-2.71, 2 Mo 2.70, 2 Mn 2.71


[4]
Material: Ho2Zn15Cu2
Method: DFT, GGA-PBE
State: relaxed

Its density of states at the Fermi level is 0.335 states/eV per atom. As for the electronic total energy: -2.135 eV per atom. For the size of the total moment, the calculation gives 0.00 μB/f.u. For the formation energy, the calculation gives -0.22 eV per atom.

a = 6.7421 Å, b = 6.7421 Å, c = 6.7421 Å
α = 82.63°, β = 82.63°, γ = 82.63°
Last column: nearest neighbours and their distance in Å.
Atoms (fractional coordinates):
Zn  0.3523  0.8424  0.3523  8 Zn 2.55-2.74, 1 Cu 2.83
Zn  0.5000  0.0000  0.0000  8 Zn 2.56-2.60, 2 Cu 2.71
Zn  0.0000  0.0000  0.5000  8 Zn 2.56-2.60, 2 Cu 2.71
Zn  0.1576  0.6477  0.6477  8 Zn 2.55-2.74, 1 Cu 2.83
Zn  0.6477  0.6477  0.1576  8 Zn 2.55-2.74, 1 Cu 2.83
Zn  0.0000  0.7083  0.2917  8 Zn 2.56-2.74
Zn  0.6477  0.1576  0.6477  8 Zn 2.55-2.74, 1 Cu 2.83
Zn  0.7083  0.0000  0.2917  8 Zn 2.56-2.74
Zn  0.8424  0.3523  0.3523  8 Zn 2.55-2.74, 1 Cu 2.83
Zn  0.0000  0.5000  0.0000  8 Zn 2.56-2.60, 2 Cu 2.71
Zn  0.7083  0.2917  0.0000  8 Zn 2.56-2.74
Zn  0.3523  0.3523  0.8424  8 Zn 2.55-2.74, 1 Cu 2.83
Zn  0.0000  0.2917  0.7083  8 Zn 2.56-2.74
Zn  0.2917  0.7083  0.0000  8 Zn 2.56-2.74
Zn  0.2917  0.0000  0.7083  8 Zn 2.56-2.74
Ho  0.6652  0.6652  0.6652  1 Cu 3.06, 15 Zn 3.17-3.38
Ho  0.3348  0.3348  0.3348  1 Cu 3.06, 15 Zn 3.17-3.38
Cu  0.1009  0.1009  0.1009  1 Cu 2.64, 12 Zn 2.71-2.91
Cu  0.8991  0.8991  0.8991  1 Cu 2.64, 12 Zn 2.71-2.91